## ErThMg2Pd4 (PBE)

Data for a geometry-optimized ErThMg2Pd4 structure.

Unit cell a=4.6178 b=4.6178 c=26.2071 alpha=90.00 beta=90.00 gamma=120.00
Space group R-3m (No. 166, hexagonal axes)
Symmetry-distinct sites (fractional):
Er 0.0000 0.0000 0.0000
Th 0.0000 0.0000 0.5000
Mg 0.0000 0.0000 0.2567
Pd 0.0000 0.0000 0.1103
Pd 0.0000 0.0000 0.3846

## Properties
The energy of formation comes out at -17.95 kcal/mol of atoms. Its electronic total energy is -0.387 Ry/atom. The theoretical density is 9.0 g cm⁻³. The calculation puts the spin magnetization at 0.000 μB per atom.

=====

## CsPb3 (PBE)

Data for a geometry-optimized CsPb3 structure.

Unit cell a=8.2289 b=8.2289 c=5.7698 alpha=90.00 beta=90.00 gamma=120.00
Space group P6_3/mmc (No. 194)
Symmetry-distinct sites (fractional):
Cs 0.3333 0.6667 0.2500
Pb 0.1297 0.2594 0.7500

## Properties
The energy of formation comes out at -2.70 kcal/mol of atoms. Its electronic total energy is -0.229 Ry/atom. The relative energy among the computed polymorphs is 7 meV/atom. The theoretical density is 7.4 g cm⁻³. The calculation puts the spin magnetization at 0.000 μB per atom.

=====

## HgPH4S (PBE)

Data for a geometry-optimized HgPH4S structure.

Unit cell a=10.350 b=6.525 c=6.388 alpha=90.00 beta=111.16 gamma=90.00
Space group C2/m (No. 12)
Symmetry-distinct sites (fractional):
Hg 0.048 0.000 0.226
P 0.110 0.500 0.766
H 0.036 0.500 0.276
H 0.145 0.298 0.688
H 0.172 0.500 0.006
S 0.193 0.000 0.628

## Properties
Its electronic total energy is -0.239 Ry/atom. The theoretical density is 4.4 g cm⁻³. The calculation puts the spin magnetization at 0.000 μB per atom.